Computed, not measured: a relaxed structure of ZnHgAu2 at the PBE level of DFT.

Magnetization: 0.00 μB/cell
Calculated formation energy: 0.02 eV per atom

Lattice parameters (Å, degrees): 6.124 7.273 3.310 90.00 90.00 90.00
Space group Cmmm (No. 65)
Symmetry-distinct sites (fractional):
Zn1 0.000 0.000 0.000 (multiplicity 2)
Hg1 0.000 0.500 0.000 (multiplicity 2)
Au1 0.250 0.250 0.500 (multiplicity 4)